Crystalline Ta2Ru at its relaxed geometry, computed with PBE.

For the raw total energy, the calculation gives -11.03 eV per atom. Its magnetic moment is 0.0 μB/f.u. The calculation puts the formation enthalpy at 0 K at -39 meV per atom.

Unit cell a=7.5991 b=7.5991 c=3.0916 alpha=90.00 beta=90.00 gamma=120.00
Closest atoms and distances in Å follow each position.
Element x y z (fractional)
Ta1 0.0000 0.2717 0.0000  4 Ru 2.58-2.80
Ta2 0.0000 0.5959 0.5000  5 Ru 2.78-3.07, 4 Ta 2.91-3.09
Ta3 0.2717 0.0000 0.0000  4 Ru 2.58-2.80
Ta4 0.4041 0.4041 0.5000  5 Ru 2.78-3.07, 4 Ta 2.91-3.09
Ta5 0.5959 0.0000 0.5000  5 Ru 2.78-3.07, 4 Ta 2.91-3.09
Ta6 0.7283 0.7283 0.0000  4 Ru 2.58-2.80
Ru1 0.0000 0.0000 0.5000  6 Ta 2.58
Ru2 0.3333 0.6667 0.0000  9 Ta 2.78-2.80, 2 Ru 3.09
Ru3 0.6667 0.3333 0.0000  9 Ta 2.78-2.80, 2 Ru 3.09